This record from Alexandria via LeMat-Bulk describes an optimized crystal structure of Li2Cr4O13. The functional is GGA-PBEsol.

Properties
Energy ... -7.6710 eV/atom
Formation energy without anion corrections ... -1.7161 eV/atom

Geometry as POSCAR:
```
Li2Cr4O13
1.0
7.536 0.000 0.000
0.000 8.902 0.000
-3.768 0.000 8.562
O Li Cr
26 4 8
Direct
0.564 0.563 0.522
0.214 0.914 0.836
0.605 0.881 0.756
0.042 0.437 0.478
0.395 0.381 0.244
0.786 0.414 0.164
0.494 0.824 0.337
0.849 0.119 0.244
0.660 0.188 0.952
0.043 0.250 0.086
0.436 0.063 0.478
0.621 0.586 0.836
0.506 0.324 0.663
0.958 0.937 0.522
0.157 0.176 0.663
0.292 0.312 0.952
0.843 0.676 0.337
0.708 0.812 0.048
0.340 0.688 0.048
0.151 0.619 0.756
0.129 0.579 0.267
0.862 0.421 0.733
0.871 0.079 0.733
0.138 0.921 0.267
0.379 0.086 0.164
0.957 0.750 0.914
0.893 0.890 0.300
0.593 0.110 0.700
0.107 0.390 0.700
0.407 0.610 0.300
0.717 0.762 0.888
0.171 0.738 0.888
0.957 0.530 0.318
0.043 0.030 0.682
0.639 0.470 0.682
0.283 0.262 0.112
0.361 0.970 0.318
0.829 0.238 0.112
```